# 1
## Ac2MgCuO6 (PBE)

Data for crystalline Ac2MgCuO6 at its relaxed geometry.

```
20
Lattice="5.610 0.000 0.000 0.000 5.610 0.000 0.000 0.000 7.926" Properties=species:S:1:pos:R:3 pbc="T T T"
Ac 2.805 4.207 1.981
Ac 0.000 1.402 5.944
Ac 2.805 4.207 5.944
Ac 0.000 1.402 1.981
Mg 0.000 4.207 3.963
Mg 2.805 1.402 0.000
Cu 2.805 1.402 3.963
Cu 0.000 4.207 0.000
O 2.805 1.402 2.027
O 2.805 1.402 5.899
O 0.000 4.207 1.936
O 0.000 4.207 5.990
O 1.434 0.031 3.963
O 4.177 0.031 3.963
O 1.434 2.774 3.963
O 4.177 2.774 3.963
O 4.239 2.836 0.000
O 1.371 2.836 0.000
O 1.371 5.579 0.000
O 4.239 5.579 0.000
```

Summary:
The raw formation energy comes out at -2.3323 eV per atom.


# 2
## RhW2C (PBE)

Data for crystalline RhW2C at its relaxed geometry.

```
8
Lattice="-4.662 1.344 -0.942 -1.260 -4.748 -0.540 -4.129 -2.001 4.610" Properties=species:S:1:pos:R:3 pbc="T T T"
C -2.961 -1.702 -0.741
C -4.174 -4.226 1.664
Rh 0.000 0.000 0.000
Rh -5.875 -1.180 1.463
W -3.705 -0.369 0.576
W -2.800 -3.185 0.617
W -5.424 -3.183 2.855
W -8.170 -4.074 2.206
```

Summary:
The formation energy comes out at 75.8 kJ/mol of atoms.


# 3
## MoWSe2 (PBE)

Data for crystalline MoWSe2 at its relaxed geometry.

```
4
Lattice="-2.370 -0.558 -2.068 0.382 -1.701 2.677 -4.768 5.284 4.039" Properties=species:S:1:pos:R:3 pbc="T T T"
Mo -4.570 2.834 3.334
Se -4.764 5.279 4.035
Se -2.389 2.647 2.023
W -2.186 0.192 1.314
```

Summary:
The calculation puts the relative energy among the computed polymorphs at 870 meV per atom. The raw formation energy comes out at 0.7151 eV per atom.


# 4
## CaSi2Bi2 (PBE)

Data for crystalline CaSi2Bi2 at its relaxed geometry.

```
5
Lattice="-1.506 -2.564 -3.402 4.256 -0.744 -1.323 1.662 -7.143 1.648" Properties=species:S:1:pos:R:3 pbc="T T T"
Ca 0.000 0.000 0.000
Si 1.422 -2.556 -1.704
Si 2.990 -7.895 -1.374
Bi 0.766 -5.680 -2.058
Bi 3.646 -4.770 -1.019
```

Summary:
The calculation puts the relative energy among the computed polymorphs at 102 meV per atom. The raw formation energy comes out at 0.1205 eV per atom.